# Sc2TiVO6, optimized geometry, DFT PBE with a Hubbard U
data_Sc2TiVO6
_chemical_formula_sum 'Sc2 Ti1 V1 O6'
_symmetry_space_group_name_H-M 'P 1'
_symmetry_Int_Tables_number 1
_symmetry_space_group_name_Hall 'P 1'
_cell_length_a 5.2730
_cell_length_b 5.2730
_cell_length_c 5.6321
_cell_angle_alpha 62.09
_cell_angle_beta 62.08
_cell_angle_gamma 59.99
loop_
_atom_site_label
_atom_site_type_symbol
_atom_site_fract_x
_atom_site_fract_y
_atom_site_fract_z
O1 O 0.2168 0.9449 0.2486
O2 O 0.5896 0.2168 0.2486
O3 O 0.1207 0.4142 0.7628
O4 O 0.4143 0.7023 0.7628
O5 O 0.9449 0.5897 0.2485
O6 O 0.7024 0.1207 0.7627
V1 V 0.8167 0.8167 0.5498
Sc1 Sc 0.0237 0.0238 0.9288
Sc2 Sc 0.5191 0.5191 0.4429
Ti1 Ti 0.3134 0.3134 0.0598
# - electronic total energy (eV/f.u.) = -88.0
# - calculated volume (Å³/cell) = 114